## NaCuCSO7 (PBEsol)

Data for a relaxed structure of NaCuCSO7.

Structure (POSCAR):
```
NaCuCSO7
1.0
4.850 0.000 0.000
0.000 7.202 0.000
-0.237 0.000 8.747
Na Cu C S O
2 2 2 2 14
Direct
0.249 0.000 0.257
0.751 0.500 0.743
0.211 0.216 0.855
0.789 0.716 0.145
0.292 0.209 0.596
0.708 0.709 0.404
0.283 0.732 0.915
0.717 0.232 0.085
0.050 0.222 0.659
0.146 0.745 0.067
0.203 0.562 0.832
0.236 0.898 0.825
0.335 0.190 0.459
0.408 0.213 0.044
0.481 0.220 0.706
0.519 0.720 0.294
0.592 0.713 0.956
0.665 0.690 0.541
0.764 0.398 0.175
0.797 0.062 0.168
0.854 0.245 0.933
0.950 0.722 0.341
```

Summary:
* magnetic moment: 0.0 μB/f.u.
* electronic total energy: -6.388 eV per atom

## InBIO2 (PBEsol)

Data for a relaxed structure of InBIO2.

Structure (POSCAR):
```
InBIO2
1.0
3.868 0.000 0.000
0.000 3.868 0.000
0.000 0.000 4.604
In B I O
1 1 1 2
Direct
0.000 0.000 0.000
0.500 0.500 0.500
0.500 0.500 0.000
0.000 0.500 0.500
0.500 0.000 0.500
```

Summary:
* magnetic moment: 0.0 μB/f.u.
* electronic total energy: -4.111 eV per atom

## TeRhCl2 (PBEsol)

Data for a relaxed structure of TeRhCl2.

Structure (POSCAR):
```
TeRhCl2
1.0
3.244 0.000 0.000
0.000 3.244 0.000
0.000 0.000 7.783
Te Rh Cl
1 1 2
Direct
0.000 0.000 0.000
0.500 0.500 0.180
0.000 0.000 0.379
0.500 0.500 0.742
```

Summary:
* magnetic moment: 0.0 μB/f.u.
* electronic total energy: -4.028 eV per atom

## Ho2PdRu (PBEsol)

Data for a relaxed structure of Ho2PdRu.

Structure (POSCAR):
```
Ho2PdRu
1.0
0.000 3.374 3.374
3.374 0.000 3.374
3.374 3.374 0.000
Ho Pd Ru
2 1 1
Direct
0.250 0.250 0.250
0.750 0.750 0.750
0.000 0.000 0.000
0.500 0.500 0.500
```

Summary:
* energy of formation from the pure elements: -0.64 eV/atom
* magnetic moment: 0.0 μB/f.u.
* electronic total energy: -7.147 eV per atom

## Mn3CuHg (PBEsol)

Data for a relaxed structure of Mn3CuHg.

Structure (POSCAR):
```
Mn3CuHg
1.0
4.485 0.000 0.000
0.000 4.485 0.000
0.000 0.000 4.485
Mn Cu Hg
3 1 1
Direct
0.000 0.000 0.500
0.000 0.500 0.000
0.500 0.000 0.000
0.000 0.000 0.000
0.500 0.500 0.500
```

Summary:
* energy of formation from the pure elements: 1.02 eV/atom
* magnetic moment: 11.8 μB/f.u.
* electronic total energy: -5.817 eV per atom

## Ni24Ir5 (PBEsol)

Data for a relaxed structure of Ni24Ir5.

Structure (POSCAR):
```
Ni24Ir5
1.0
-4.315 4.315 4.315
4.315 -4.315 4.315
4.315 4.315 -4.315
Ni Ir
24 5
Direct
0.000 0.191 0.378
0.000 0.378 0.191
0.000 0.405 0.680
0.000 0.680 0.405
0.187 0.809 0.809
0.191 0.000 0.378
0.191 0.378 0.000
0.275 0.595 0.595
0.320 0.320 0.725
0.320 0.725 0.320
0.378 0.000 0.191
0.378 0.191 0.000
0.405 0.000 0.680
0.405 0.680 0.000
0.595 0.275 0.595
0.595 0.595 0.275
0.622 0.622 0.813
0.622 0.813 0.622
0.680 0.000 0.405
0.680 0.405 0.000
0.725 0.320 0.320
0.809 0.187 0.809
0.809 0.809 0.187
0.813 0.622 0.622
0.000 0.000 0.000
0.000 0.000 0.638
0.000 0.638 0.000
0.362 0.362 0.362
0.638 0.000 0.000
```

Summary:
* energy of formation from the pure elements: 0.09 eV/atom
* magnetic moment: 17.0 μB/f.u.
* electronic total energy: -6.702 eV per atom